A geometry-optimized YMn3Bi structure. Source: Alexandria via LeMat-Bulk, functional PBE-GGA.

Formation energy from the elements (meV/atom): 1397

The structure in POSCAR format:
```
YMn3Bi
1.0
5.016 0.000 0.000
0.000 5.016 0.000
0.000 0.000 5.016
Y Mn Bi
1 3 1
Direct
0.000 0.000 0.000 Y
0.000 0.000 0.500 Mn
0.000 0.500 0.000 Mn
0.500 0.000 0.000 Mn
0.500 0.500 0.500 Bi
```